The following is a DFT calculation (PBE) of crystalline Tm8Al2Cu at its relaxed geometry.

Its energy is -4.47 eV/atom.

The space group is C2/m (No. 12) and the conventional cell measures 17.982, 4.977 and 6.537 Å, with angles of 90.00, 102.94 and 90.00 degrees. The inequivalent atoms are Tm at (0.021, 0.000, 0.274), Tm at (0.094, 0.500, 0.958), Tm at (0.151, 0.500, 0.470), Tm at (0.208, 0.000, 0.800), Al at (0.189, 0.000, 0.249) and Cu at (0.000, 0.500, 0.500).


The following is a DFT calculation (PBE) of crystalline Y2TlCd at its relaxed geometry.

Its energy is -3.96 eV/atom.

The space group is F-43m (No. 216) and the conventional cell measures 7.645, 7.645 and 7.645 Å, with angles of 90.00, 90.00 and 90.00 degrees. The inequivalent atoms are Y at (0.000, 0.000, 0.000), Y at (0.250, 0.250, 0.250), Tl at (0.250, 0.250, 0.750) and Cd at (0.000, 0.000, 0.500).


The following is a DFT calculation (PBE) of crystalline EuThNi at its relaxed geometry.

Its energy is -7.92 eV/atom. The excess energy over the best structure of this formula in the dataset is 0.0 meV/atom.

The space group is I4mm (No. 107) and the conventional cell measures 3.577, 3.577 and 12.598 Å, with angles of 90.00, 90.00 and 90.00 degrees. The inequivalent atoms are Eu at (0.000, 0.000, 0.000), Th at (0.000, 0.000, 0.270) and Ni at (0.000, 0.000, 0.668).


The following is a DFT calculation (PBE) of crystalline Pu2Al12Cu5 at its relaxed geometry.

Its energy is -5.18 eV/atom.

The space group is R-3m (No. 166, hexagonal axes) and the conventional cell measures 8.9381, 8.9381 and 13.3492 Å, with angles of 90.00, 90.00 and 120.00 degrees. The inequivalent atoms are Pu at (0.0000, 0.0000, 0.1566), Al at (0.0000, 0.2924, 0.5000), Al at (0.0085, 0.5042, 0.3483), Cu at (0.0000, 0.0000, 0.4017) and Cu at (0.0000, 0.5000, 0.0000).


The following is a DFT calculation (PBE) of crystalline RbLi2SiPd at its relaxed geometry.

As for the uncorrected formation energy: -0.167 eV per atom. Its energy is -3.25 eV/atom.

The space group is P4/mmm (No. 123) and the conventional cell measures 5.150, 5.150 and 4.617 Å, with angles of 90.00, 90.00 and 90.00 degrees. The inequivalent atoms are Rb at (0.000, 0.000, 0.000), Li at (0.000, 0.500, 0.500), Si at (0.500, 0.500, 0.000) and Pd at (0.500, 0.500, 0.500).


The following is a DFT calculation (PBE) of crystalline TiRuN at its relaxed geometry.

As for the uncorrected formation energy: -0.629 eV per atom. Its energy is -9.13 eV/atom. The excess energy over the best structure of this formula in the dataset is 203.0 meV/atom.

The space group is P2/m (No. 10) and the conventional cell measures 4.916, 2.914 and 4.953 Å, with angles of 90.00, 100.29 and 90.00 degrees. The inequivalent atoms are Ti at (0.219, 0.000, 0.240), Ru at (0.278, 0.500, 0.698), N at (0.000, 0.500, 0.000) and N at (0.500, 0.000, 0.000).


The following is a DFT calculation (PBE) of crystalline AcTm2NpO8 at its relaxed geometry.

As for the uncorrected formation energy: -3.151 eV per atom. Its energy is -8.62 eV/atom.

The space group is P2/m (No. 10) and the conventional cell measures 3.996, 7.539 and 5.421 Å, with angles of 90.00, 94.26 and 90.00 degrees. The inequivalent atoms are Ac at (0.000, 0.000, 0.000), Tm at (0.500, 0.247, 0.500), Np at (0.000, 0.500, 0.000), O at (0.030, 0.289, 0.754), O at (0.453, 0.500, 0.227) and O at (0.486, 0.000, 0.728).


The following is a DFT calculation (PBE) of crystalline AcErHfN3 at its relaxed geometry.

As for the uncorrected formation energy: -1.259 eV per atom. Its energy is -8.53 eV/atom.

The space group is P2_1/m (No. 11) and the conventional cell measures 6.726, 3.458 and 9.961 Å, with angles of 90.00, 97.37 and 90.00 degrees. The inequivalent atoms are Ac at (0.195, 0.250, 0.229), Er at (0.346, 0.750, 0.885), Hf at (0.165, 0.250, 0.588), N at (0.129, 0.250, 0.791), N at (0.153, 0.750, 0.466) and N at (0.391, 0.750, 0.111).